No. 1
The following is a DFT calculation (PBE) of a relaxed NiMo2 crystal.

Its formation energy is 0.18 eV/atom. As for the energy relative to the lowest polymorph listed for this composition: 0.43 eV/f.u.

It has space group Immm (No. 71), with a = 2.590 Å, b = 4.024 Å, c = 8.313 Å, α = 90.00°, β = 90.00° and γ = 90.00°. The asymmetric unit holds Ni at (0.000, 0.000, 0.000) and Mo at (0.000, 0.000, 0.338).



No. 2
The following is a DFT calculation (PBE) of a relaxed Ni2Mo crystal.

Its formation energy is 0.00 eV/atom. As for the energy relative to the lowest polymorph listed for this composition: 0.26 eV/f.u.

It has space group I4/mmm (No. 139), with a = 2.630 Å, b = 2.630 Å, c = 10.849 Å, α = 90.00°, β = 90.00° and γ = 90.00°. The asymmetric unit holds Ni at (0.000, 0.000, 0.172) and Mo at (0.000, 0.000, 0.500).



No. 3
The following is a DFT calculation (PBE) of a relaxed NiMo crystal.

Its formation energy is 0.20 eV/atom.

It has space group Fd-3m (No. 227, origin choice 2), with a = 6.017 Å, b = 6.017 Å, c = 6.017 Å, α = 90.00°, β = 90.00° and γ = 90.00°. The asymmetric unit holds Ni at (0.125, 0.125, 0.125) and Mo at (0.125, 0.125, 0.625).



No. 4
The following is a DFT calculation (PBE) of a relaxed NpNiMo2 crystal.

Its formation energy is 1.10 eV/atom.

It has space group R-3m (No. 166, hexagonal axes), with a = 3.1272 Å, b = 3.1272 Å, c = 25.8818 Å, α = 90.00°, β = 90.00° and γ = 120.00°. The asymmetric unit holds Np at (0.0000, 0.0000, 0.0000), Ni at (0.0000, 0.0000, 0.5000) and Mo at (0.0000, 0.0000, 0.4055).